Entry 1:
## AcLaLu2 (PBE)

Data for AcLaLu2 after structural relaxation.

Results
Fermi-level density of states in states/eV/cell: 6.07
E_form in meV per atom: 74.3

abc: 5.8381 5.8381 5.8381
angles: 60.00 60.00 60.00
Fractional positions:
La  0.5000  0.5000  0.5000
Lu  0.2500  0.2500  0.2500
Ac  0.0000  0.0000  0.0000
Lu  0.7500  0.7500  0.7500

Entry 2:
## CeNd5Ho12 (PBE)

Data for CeNd5Ho12 after structural relaxation.

Results
Fermi-level density of states in states/eV/cell: 26.65
E_form in meV per atom: 31.6

abc: 10.6969 10.7048 6.1808
angles: 73.36 90.00 60.03
Last column: magnetic moment on the atom in μB.
Fractional positions:
Ho  0.6667  0.3316  0.0001  0.02
Nd  0.6669  0.6665  0.0003  -0.01
Ho  0.6702  0.0000  0.0000  0.03
Nd  0.5000  0.0000  0.5000  0.00
Ho  0.9984  0.6685  0.9999  0.02
Ho  0.3298  0.0000  0.0000  0.03
Ho  0.3333  0.6685  0.9999  0.02
Ho  0.1661  0.0000  0.5000  0.05
Nd  0.1654  0.6695  0.4941  0.01
Nd  0.8346  0.3306  0.5059  0.01
Ho  0.4988  0.6666  0.4997  0.00
Ce  0.0000  0.0000  0.0000  0.81
Ho  0.0016  0.3315  0.0001  0.02
Ho  0.8347  0.6667  0.4997  0.00
Ho  0.8339  0.0000  0.5000  0.05
Nd  0.3331  0.3335  0.9997  -0.01
Ho  0.1653  0.3333  0.5003  0.00
Ho  0.5012  0.3334  0.5003  0.00

Entry 3:
## BaAc3Au3 (PBE)

Data for BaAc3Au3 after structural relaxation.

Results
Fermi-level density of states in states/eV/cell: 22.54
E_form in meV per atom: -365.4

abc: 8.6162 8.6162 8.6162
angles: 90.00 90.00 90.00
Fractional positions:
Ac  0.0000  0.2500  0.5000
Ac  0.7500  0.5000  0.0000
Au  0.7500  0.0000  0.5000
Au  0.5000  0.7500  0.0000
Ac  0.5000  0.0000  0.7500
Ac  0.5000  0.0000  0.2500
Au  0.0000  0.5000  0.2500
Au  0.5000  0.2500  0.0000
Ba  0.5000  0.5000  0.5000
Au  0.2500  0.0000  0.5000
Ac  0.2500  0.5000  0.0000
Ac  0.0000  0.7500  0.5000
Ba  0.0000  0.0000  0.0000
Au  0.0000  0.5000  0.7500

Entry 4:
## RbTmTe2 (PBE)

Data for RbTmTe2 after structural relaxation.

Results
Formation energy from raw total energies in eV/atom: -1.3410

abc: 4.4613 4.4614 8.7068
angles: 90.01 90.00 120.00
Fractional positions:
Te  0.6667  0.8334  0.8044
Tm  0.0000  0.5000  0.0000
Te  0.3333  0.1666  0.1956
Rb  0.0000  0.5000  0.5000

Entry 5:
## GaNi4Ge (PBE)

Data for GaNi4Ge after structural relaxation.

Results
Fermi-level density of states in states/eV/cell: 3.97
E_form in meV per atom: -229.5

abc: 3.4584 4.4244 5.8213
angles: 104.49 72.72 66.99
Fractional positions:
Ni  0.6658  0.9991  0.6694
Ni  0.1702  0.4941  0.1656
Ni  0.8298  0.5059  0.8344
Ga  0.5000  0.5000  0.5000
Ge  0.0000  0.0000  0.0000
Ni  0.3342  0.0009  0.3306

Entry 6:
## InReSi2 (PBE)

Data for InReSi2 after structural relaxation.

Results
Formation energy from raw total energies in eV/atom: 0.1964
Fermi-level density of states in states/eV/cell: 0.09

abc: 4.4992 4.4992 6.1070
angles: 96.66 96.66 42.86
Fractional positions:
Si  0.6697  0.6697  0.8560
In  0.5952  0.5952  0.4310
Re  0.2651  0.2651  0.1268
Si  0.9700  0.9700  0.0862

Entry 7:
## PrTc2C2 (PBE)

Data for PrTc2C2 after structural relaxation.

Results
Fermi-level density of states in states/eV/cell: 5.20
E_form in meV per atom: -109.5

abc: 5.6097 5.6097 5.8571
angles: 109.85 109.85 106.84
Fractional positions:
Tc  0.7641  0.0144  0.5281
C  0.5624  0.9376  0.7500
C  0.8122  0.6878  0.2500
Tc  0.5144  0.2641  0.0281
Tc  0.2359  0.9856  0.4719
C  0.4376  0.0624  0.2500
Pr  0.8750  0.6250  0.7500
C  0.1878  0.3122  0.7500
Tc  0.4856  0.7359  0.9719
Pr  0.1250  0.3750  0.2500

Entry 8:
## Mg2TeAs2 (PBE)

Data for Mg2TeAs2 after structural relaxation.

Results
Formation energy from raw total energies in eV/atom: -0.2251
Fermi-level density of states in states/eV/cell: 4.49

abc: 4.9035 4.9035 5.9335
angles: 65.59 65.59 90.00
Fractional positions:
Mg  0.2500  0.7500  0.5000
As  0.6272  0.6272  0.7456
Mg  0.7500  0.2500  0.5000
Te  0.0000  0.0000  0.0000
As  0.3728  0.3728  0.2544

Entry 9:
## Hg2PdRhS (PBE)

Data for Hg2PdRhS after structural relaxation.

Results
Formation energy from raw total energies in eV/atom: 0.6066
Fermi-level density of states in states/eV/cell: 5.20

abc: 5.0353 4.3494 5.0353
angles: 90.00 90.00 90.00
Fractional positions:
S  0.0000  0.0000  0.0000
Hg  0.0000  0.0000  0.5000
Pd  0.5000  0.5000  0.5000
Hg  0.5000  0.0000  0.0000
Rh  0.0000  0.5000  0.0000

Entry 10:
## BAuSN2 (PBE)

Data for BAuSN2 after structural relaxation.

Results
Formation energy from raw total energies in eV/atom: 1.1935
Fermi-level density of states in states/eV/cell: 4.16

abc: 3.2671 3.2671 7.9523
angles: 90.00 90.00 90.00
Fractional positions:
N  0.0000  0.5000  0.0000
N  0.5000  0.0000  0.0000
Au  0.5000  0.5000  0.5000
S  0.0000  0.0000  0.5000
B  0.0000  0.0000  0.0000

Entry 11:
## Ti2MnTl2Se6 (PBE)

Data for Ti2MnTl2Se6 after structural relaxation.

Results
Formation energy from raw total energies in eV/atom: -0.7914
Fermi-level density of states in states/eV/cell: 2.20

abc: 6.4900 6.4900 8.0993
angles: 97.64 97.64 120.48
Last column: magnetic moment on the atom in μB.
Fractional positions:
Se  0.7231  0.7231  0.6851  -0.01
Ti  0.6700  0.3300  0.5000  0.33
Se  0.9349  0.5979  0.3113  -0.01
Mn  0.0000  0.0000  0.5000  3.95
Se  0.5979  0.9349  0.3113  -0.01
Tl  0.8361  0.1639  0.0000  0.01
Se  0.4021  0.0651  0.6887  -0.01
Tl  0.1639  0.8361  0.0000  0.01
Se  0.2769  0.2769  0.3149  -0.01
Se  0.0651  0.4021  0.6887  -0.01
Ti  0.3300  0.6700  0.5000  0.33

Entry 12:
## CuSbPdAu (PBE)

Data for CuSbPdAu after structural relaxation.

Results
Formation energy from raw total energies in eV/atom: -0.0873
Fermi-level density of states in states/eV/cell: 2.13

abc: 4.6134 4.6134 4.6134
angles: 60.00 60.00 60.00
Fractional positions:
Au  0.5000  0.5000  0.5000
Sb  0.0000  0.0000  0.0000
Pd  0.7500  0.7500  0.7500
Cu  0.2500  0.2500  0.2500